No. 1
KCe6Se8 after structural relaxation, computed with PBE.

abc: 11.3145 11.3145 4.3335
angles: 90.00 90.00 120.00
Atoms (fractional coordinates):
K 0.0000 0.0000 0.0000
Ce 0.1383 0.6589 0.7483
Ce 0.3411 0.4794 0.7483
Ce 0.4794 0.1383 0.2517
Ce 0.5206 0.8617 0.7483
Ce 0.6589 0.5206 0.2517
Ce 0.8617 0.3411 0.2517
Se 0.0422 0.3519 0.7523
Se 0.3097 0.9578 0.7523
Se 0.3333 0.6667 0.2487
Se 0.3519 0.3097 0.2477
Se 0.6481 0.6903 0.7523
Se 0.6667 0.3333 0.7513
Se 0.6903 0.0422 0.2477
Se 0.9578 0.6481 0.2477

Values from the calculation:
* space-group type: P-3, No. 147
* calculated total energy: -89.28 eV/cell

***

No. 2
KCeSe2 after structural relaxation, computed with PBE.

abc: 4.3311 4.3311 7.9736
angles: 90.00 90.00 120.00
Atoms (fractional coordinates):
K 0.0000 0.0000 0.0000
Ce 0.0000 0.0000 0.5000
Se 0.3333 0.6667 0.7075
Se 0.6667 0.3333 0.2925

Values from the calculation:
* space-group type: P-3m1, No. 164
* calculated total energy: -20.57 eV/cell